[1]
Below is NbNiPtS2 after structural relaxation, with properties calculated at the PBE level.

## Properties
Energy relative to the elements, uncorrected ... 0.889 eV/atom

a = 4.5476 Å, b = 4.5476 Å, c = 4.6142 Å
α = 90.00°, β = 90.00°, γ = 90.00°
Space group P4/mmm (No. 123)
Unique sites:
Nb: 0.0000 0.0000 0.0000 (multiplicity 1)
Ni: 0.5000 0.5000 0.0000 (multiplicity 1)
Pt: 0.5000 0.5000 0.5000 (multiplicity 1)
S: 0.0000 0.5000 0.5000 (multiplicity 2)

[2]
Below is MgSc3Ru after structural relaxation, with properties calculated at the PBE level.

## Properties
Polymorph energy (0 for the lowest one) ... 0.000 eV per atom
Formation energy ... -1.348 eV per formula unit

a = 8.9875 Å, b = 7.5205 Å, c = 3.1859 Å
α = 90.00°, β = 90.00°, γ = 90.00°
Space group Pma2 (No. 28)
Unique sites:
Mg: 0.2500 0.0832 0.0000 (multiplicity 2)
Sc: 0.0427 0.7890 0.5013 (multiplicity 4)
Sc: 0.2500 0.4537 0.5014 (multiplicity 2)
Ru: 0.0000 0.5000 0.0013 (multiplicity 2)

[3]
Below is Th8Sb4TeAs3 after structural relaxation, with properties calculated at the PBE level.

## Properties
Energy relative to the elements, uncorrected ... -1.101 eV/atom

a = 8.8088 Å, b = 8.8088 Å, c = 21.6385 Å
α = 90.00°, β = 90.00°, γ = 120.00°
Space group R-3m (No. 166, hexagonal axes)
Unique sites:
Th: 0.0000 0.0000 0.2418 (multiplicity 6)
Th: 0.0131 0.5065 0.7558 (multiplicity 18)
Sb: 0.0000 0.0000 0.0000 (multiplicity 3)
Sb: 0.0000 0.5000 0.0000 (multiplicity 9)
Te: 0.0000 0.0000 0.5000 (multiplicity 3)
As: 0.0000 0.5000 0.5000 (multiplicity 9)

[4]
Below is Ac7Hg3 after structural relaxation, with properties calculated at the PBE level.

## Properties
Formation energy ... -2.638 eV per formula unit

a = 11.1558 Å, b = 11.1558 Å, c = 7.2416 Å
α = 90.00°, β = 90.00°, γ = 120.00°
Space group P6_3mc (No. 186)
Unique sites:
Ac: 0.0782 0.5391 0.0000 (multiplicity 6)
Ac: 0.1257 0.2513 0.2786 (multiplicity 6)
Ac: 0.3333 0.6667 0.4319 (multiplicity 2)
Hg: 0.1938 0.3876 0.7054 (multiplicity 6)